DFT (GGA-PBE) results for a relaxed TbZr2Ga crystal.

```
TbZr2Ga
1.0
3.146 0.000 0.000
-1.573 2.724 0.000
0.000 0.000 33.308
Tb Zr Ga
3 6 3
direct
0.000 0.000 0.000
0.333 0.667 0.667
0.667 0.333 0.333
0.000 0.000 0.096
0.000 0.000 0.904
0.333 0.667 0.570
0.333 0.667 0.763
0.667 0.333 0.237
0.667 0.333 0.430
0.000 0.000 0.500
0.333 0.667 0.167
0.667 0.333 0.833
```

Volume   285.5 Å³/cell
Energy above the most stable polymorph in this dataset   0.431 eV/atom
Space group   R-3m (166)
ΔH_f (0 K)   0.124 eV/atom
Raw total energy   -6.06 eV/atom